Compound: KHgNO2
Source: Alexandria
Functional: PBE
Structure: optimized geometry

Cell: 4.4229 4.4229 4.3774 Å, 90.00 90.00 90.00°
Closest atoms and distances in Å follow each position.
Element x y z (fractional)
K (0.0000, 0.0000, 0.0000)  8 O 3.11, 4 N 3.13
Hg (0.5000, 0.5000, 0.5000)  2 N 2.19, 4 O 2.21
N (0.5000, 0.5000, 0.0000)  2 Hg 2.19
O (0.0000, 0.5000, 0.5000)  2 Hg 2.21
O (0.5000, 0.0000, 0.5000)  2 Hg 2.21

---

Compound: KHgNO2
Source: Alexandria
Functional: PBE
Structure: optimized geometry

Cell: 4.8807 4.8807 5.0739 Å, 90.00 90.00 90.00°
Closest atoms and distances in Å follow each position.
Element x y z (fractional)
K (0.0000, 0.0000, 0.0000)  4 O 2.44, 2 N 2.54
Hg (0.5000, 0.5000, 0.5000)  4 N 3.45, 8 O 3.52
N (0.0000, 0.0000, 0.5000)  2 K 2.54
O (0.0000, 0.5000, 0.0000)  2 K 2.44
O (0.5000, 0.0000, 0.0000)  2 K 2.44

---

Compound: KHgOsN2
Source: Alexandria
Functional: PBE
Structure: optimized geometry

Cell: 3.9477 3.9477 6.3132 Å, 90.00 90.00 90.00°
Closest atoms and distances in Å follow each position.
Element x y z (fractional)
K (0.0000, 0.0000, 0.0000)  4 Hg 2.79
Hg (0.5000, 0.5000, 0.0000)  4 K 2.79
Os (0.0000, 0.0000, 0.5000)  4 N 1.97
N (0.0000, 0.5000, 0.5000)  2 Os 1.97
N (0.5000, 0.0000, 0.5000)  2 Os 1.97

---

Compound: KHg2PN
Source: Alexandria
Functional: PBE
Structure: optimized geometry

Cell: 4.5755 4.5755 5.4338 Å, 90.00 90.00 90.00°
Closest atoms and distances in Å follow each position.
Element x y z (fractional)
K (0.0000, 0.0000, 0.0000)  2 N 2.72
Hg (0.0000, 0.5000, 0.5000)  2 N 2.29
Hg (0.5000, 0.0000, 0.5000)  2 N 2.29
P (0.5000, 0.5000, 0.0000)  4 K 3.24, 8 Hg 3.55
N (0.0000, 0.0000, 0.5000)  4 Hg 2.29

---

| no. | D(E_F) (states/eV/f.u.) | ΔE_f (raw) (eV per atom) | energy (Ha/atom) |
| --- | --- | --- | --- |
| 1 | 4.1 | 0.582 | -0.1230 |
| 2 | 6.6 | 1.561 | -0.0870 |
| 3 | 1.7 | 0.788 | -0.1862 |
| 4 | 2.2 | 0.792 | -0.0844 |